No. 1
Crystalline PmPr2Nd3Y6 at its relaxed geometry. Source: the Alexandria database, functional PBE.

Lattice parameters (Å, degrees): 6.3033 6.3033 11.9054 95.05 95.05 119.99
Fractional coordinates of all 12 atoms:
Pm 0.0000 0.0000 0.0000
Pr 0.3335 0.6665 0.0000
Pr 0.6665 0.3335 0.0000
Nd 0.1668 0.8332 0.5000
Nd 0.5000 0.5000 0.5000
Nd 0.8332 0.1668 0.5000
Y 0.0834 0.4165 0.2503
Y 0.2495 0.2495 0.7495
Y 0.4165 0.0834 0.2503
Y 0.5835 0.9166 0.7497
Y 0.7505 0.7505 0.2505
Y 0.9166 0.5835 0.7497

Results
Energy in eV/atom: -5.61
Space-group type: C2/m, No. 12
Energy of formation from the pure elements in kJ per mole of atoms: 1

---

No. 2
Crystalline Pm2PrNdY5 at its relaxed geometry. Source: the Alexandria database, functional PBE.

Lattice parameters (Å, degrees): 9.9894 9.9894 9.9894 127.80 127.80 76.95
Fractional coordinates of all 18 atoms:
Pm 0.1168 0.6168 0.7336
Pm 0.3832 0.1168 0.5000
Pm 0.6168 0.8832 0.5000
Pm 0.8832 0.3832 0.2664
Pr 0.2500 0.2500 0.0000
Pr 0.7500 0.7500 0.0000
Nd 0.2500 0.7500 0.5000
Nd 0.7500 0.2500 0.5000
Y 0.0000 0.0000 0.0000
Y 0.0717 0.1571 0.5000
Y 0.1571 0.6571 0.0854
Y 0.3429 0.4283 0.5000
Y 0.4283 0.9283 0.0854
Y 0.5000 0.5000 0.0000
Y 0.5717 0.0717 0.9146
Y 0.6571 0.5717 0.5000
Y 0.8429 0.3429 0.9146
Y 0.9283 0.8429 0.5000

Results
Energy in eV/atom: -5.47
Space-group type: I4/mcm, No. 140
Energy of formation from the pure elements in kJ per mole of atoms: 23

---

No. 3
Crystalline PmPr2Nd6Y3 at its relaxed geometry. Source: the Alexandria database, functional PBE.

Lattice parameters (Å, degrees): 6.3490 6.3490 12.0798 95.02 95.02 120.02
Fractional coordinates of all 12 atoms:
Pm 0.0000 0.0000 0.0000
Pr 0.3333 0.6667 0.0000
Pr 0.6667 0.3333 0.0000
Nd 0.0847 0.4176 0.2535
Nd 0.2482 0.2482 0.7464
Nd 0.4176 0.0847 0.2535
Nd 0.5824 0.9153 0.7465
Nd 0.7518 0.7518 0.2536
Nd 0.9153 0.5824 0.7465
Y 0.1667 0.8333 0.5000
Y 0.5000 0.5000 0.5000
Y 0.8333 0.1667 0.5000

Results
Energy in eV/atom: -5.18
Space-group type: C2/m, No. 12
Energy of formation from the pure elements in kJ per mole of atoms: 1

---

No. 4
Crystalline PmPrNdY2 at its relaxed geometry. Source: the Alexandria database, functional PBE.

Lattice parameters (Å, degrees): 8.6043 6.6430 6.2154 90.00 96.37 90.00
Fractional coordinates of all 10 atoms:
Pm 0.0000 0.0635 0.2500
Pm 0.0000 0.9365 0.7500
Pr 0.0000 0.5000 0.0000
Pr 0.0000 0.5000 0.5000
Nd 0.5000 0.3334 0.2500
Nd 0.5000 0.6666 0.7500
Y 0.3103 0.1831 0.7164
Y 0.3103 0.8169 0.2164
Y 0.6897 0.1831 0.7836
Y 0.6897 0.8169 0.2836

Results
Energy in eV/atom: -5.17
Space-group type: P2/c, No. 13
Energy of formation from the pure elements in kJ per mole of atoms: 26

---

No. 5
Crystalline Pm3Pr6NdY2 at its relaxed geometry. Source: the Alexandria database, functional PBE.

Lattice parameters (Å, degrees): 6.3773 6.3773 12.1246 95.04 95.04 120.03
Fractional coordinates of all 12 atoms:
Pm 0.0000 0.0000 0.0000
Pm 0.3332 0.6668 0.0000
Pm 0.6668 0.3332 0.0000
Pr 0.0831 0.4166 0.2511
Pr 0.2501 0.2501 0.7488
Pr 0.4166 0.0831 0.2511
Pr 0.5834 0.9169 0.7489
Pr 0.7499 0.7499 0.2512
Pr 0.9169 0.5834 0.7489
Nd 0.5000 0.5000 0.5000
Y 0.1665 0.8335 0.5000
Y 0.8335 0.1665 0.5000

Results
Energy in eV/atom: -5.04
Space-group type: C2/m, No. 12
Energy of formation from the pure elements in kJ per mole of atoms: 1

---

No. 6
Crystalline Pm2PrNd6Y3 at its relaxed geometry. Source: the Alexandria database, functional PBE.

Lattice parameters (Å, degrees): 6.3408 6.3408 12.0561 95.02 95.02 120.01
Fractional coordinates of all 12 atoms:
Pm 0.1666 0.8334 0.0000
Pm 0.8334 0.1666 0.0000
Pr 0.5000 0.5000 0.0000
Nd 0.0815 0.4153 0.7471
Nd 0.2510 0.2510 0.2529
Nd 0.4153 0.0815 0.7471
Nd 0.5847 0.9185 0.2529
Nd 0.7490 0.7490 0.7471
Nd 0.9185 0.5847 0.2529
Y 0.0000 0.0000 0.5000
Y 0.3331 0.6669 0.5000
Y 0.6669 0.3331 0.5000

Results
Energy in eV/atom: -5.18
Space-group type: C2/m, No. 12
Energy of formation from the pure elements in kJ per mole of atoms: 1

---

No. 7
Crystalline PmPr2NdY6 at its relaxed geometry. Source: the Alexandria database, functional PBE.

Lattice parameters (Å, degrees): 8.8202 8.8202 9.9940 95.54 95.54 117.44
Fractional coordinates of all 20 atoms:
Pm 0.0156 0.9844 0.7500
Pm 0.9844 0.0156 0.2500
Pr 0.1888 0.2847 0.5436
Pr 0.2847 0.1888 0.0436
Pr 0.7153 0.8112 0.9564
Pr 0.8112 0.7153 0.4564
Nd 0.4040 0.5960 0.2500
Nd 0.5960 0.4040 0.7500
Y 0.0244 0.5772 0.6844
Y 0.1184 0.7385 0.0567
Y 0.2615 0.8816 0.4433
Y 0.2999 0.5077 0.8816
Y 0.4228 0.9756 0.8156
Y 0.4923 0.7001 0.6184
Y 0.5077 0.2999 0.3816
Y 0.5772 0.0244 0.1844
Y 0.7001 0.4923 0.1184
Y 0.7385 0.1184 0.5567
Y 0.8816 0.2615 0.9433
Y 0.9756 0.4228 0.3156

Results
Energy in eV/atom: -5.67
Space-group type: C2/c, No. 15
Energy of formation from the pure elements in kJ per mole of atoms: 11

---

No. 8
Crystalline Pm5Pr2NdY at its relaxed geometry. Source: the Alexandria database, functional PBE.

Lattice parameters (Å, degrees): 10.2091 10.2091 10.2091 128.63 128.63 75.61
Fractional coordinates of all 18 atoms:
Pm 0.0000 0.0000 0.0000
Pm 0.0729 0.5729 0.9259
Pm 0.1470 0.0729 0.5000
Pm 0.3530 0.8530 0.9259
Pm 0.4271 0.3530 0.5000
Pm 0.5000 0.5000 0.0000
Pm 0.5729 0.6470 0.5000
Pm 0.6470 0.1470 0.0741
Pm 0.8530 0.9271 0.5000
Pm 0.9271 0.4271 0.0741
Pr 0.1186 0.3814 0.5000
Pr 0.3814 0.8814 0.2628
Pr 0.6186 0.1186 0.7372
Pr 0.8814 0.6186 0.5000
Nd 0.2500 0.2500 0.0000
Nd 0.7500 0.7500 0.0000
Y 0.2500 0.7500 0.5000
Y 0.7500 0.2500 0.5000

Results
Energy in eV/atom: -4.69
Space-group type: I4/mcm, No. 140
Energy of formation from the pure elements in kJ per mole of atoms: 25

---

No. 9
Crystalline Pm2PrNd3Y6 at its relaxed geometry. Source: the Alexandria database, functional PBE.

Lattice parameters (Å, degrees): 6.2925 6.2925 11.8974 95.04 95.04 119.99
Fractional coordinates of all 12 atoms:
Pm 0.1666 0.8334 0.0000
Pm 0.8334 0.1666 0.0000
Pr 0.5000 0.5000 0.0000
Nd 0.0000 0.0000 0.5000
Nd 0.3332 0.6668 0.5000
Nd 0.6668 0.3332 0.5000
Y 0.0830 0.4166 0.7502
Y 0.2497 0.2497 0.2499
Y 0.4166 0.0830 0.7502
Y 0.5834 0.9170 0.2498
Y 0.7503 0.7503 0.7501
Y 0.9170 0.5834 0.2498

Results
Energy in eV/atom: -5.61
Space-group type: C2/m, No. 12
Energy of formation from the pure elements in kJ per mole of atoms: 1

---

No. 10
Crystalline PmPr6Nd3Y2 at its relaxed geometry. Source: the Alexandria database, functional PBE.

Lattice parameters (Å, degrees): 6.3861 6.3861 12.1477 95.03 95.03 120.00
Fractional coordinates of all 12 atoms:
Pm 0.0000 0.0000 0.0000
Pr 0.0831 0.4163 0.2476
Pr 0.2503 0.2503 0.7524
Pr 0.4163 0.0831 0.2476
Pr 0.5837 0.9169 0.7524
Pr 0.7497 0.7497 0.2476
Pr 0.9169 0.5837 0.7524
Nd 0.1668 0.8332 0.5000
Nd 0.5000 0.5000 0.5000
Nd 0.8332 0.1668 0.5000
Y 0.3335 0.6665 0.0000
Y 0.6665 0.3335 0.0000

Results
Energy in eV/atom: -5.04
Space-group type: C2/m, No. 12
Energy of formation from the pure elements in kJ per mole of atoms: 1

---

No. 11
Crystalline Pm2PrNd6Y at its relaxed geometry. Source: the Alexandria database, functional PBE.

Lattice parameters (Å, degrees): 9.0293 9.0293 9.9034 94.18 94.18 118.11
Fractional coordinates of all 20 atoms:
Pm 0.1983 0.2982 0.0434
Pm 0.2982 0.1983 0.5434
Pm 0.7018 0.8017 0.4566
Pm 0.8017 0.7018 0.9566
Pr 0.0216 0.9784 0.2500
Pr 0.9784 0.0216 0.7500
Nd 0.0156 0.5686 0.1861
Nd 0.1190 0.7506 0.5545
Nd 0.2494 0.8810 0.9455
Nd 0.2938 0.5061 0.3802
Nd 0.4314 0.9844 0.3139
Nd 0.4939 0.7062 0.1198
Nd 0.5061 0.2938 0.8802
Nd 0.5686 0.0156 0.6861
Nd 0.7062 0.4939 0.6198
Nd 0.7506 0.1190 0.0545
Nd 0.8810 0.2494 0.4455
Nd 0.9844 0.4314 0.8139
Y 0.4085 0.5915 0.7500
Y 0.5915 0.4085 0.2500

Results
Energy in eV/atom: -4.83
Space-group type: C2/c, No. 15
Energy of formation from the pure elements in kJ per mole of atoms: 10

---

No. 12
Crystalline PmPr3Nd2Y6 at its relaxed geometry. Source: the Alexandria database, functional PBE.

Lattice parameters (Å, degrees): 6.3105 6.3105 11.9126 95.05 95.05 120.00
Fractional coordinates of all 12 atoms:
Pm 0.0000 0.0000 0.0000
Pr 0.1666 0.8334 0.5000
Pr 0.5000 0.5000 0.5000
Pr 0.8334 0.1666 0.5000
Nd 0.3334 0.6666 0.0000
Nd 0.6666 0.3334 0.0000
Y 0.0830 0.4162 0.2490
Y 0.2502 0.2502 0.7511
Y 0.4162 0.0830 0.2490
Y 0.5838 0.9170 0.7510
Y 0.7498 0.7498 0.2489
Y 0.9170 0.5838 0.7510

Results
Energy in eV/atom: -5.61
Space-group type: C2/m, No. 12
Energy of formation from the pure elements in kJ per mole of atoms: 1

---

- Look up the energy of formation from the pure elements of the sixth one.
  1 kJ per mole of atoms

---

- energy of formation from the pure elements of number 12 (PmPr3Nd2Y6)?
  1 kJ per mole of atoms